CaZn2P: optimized geometry, PBE-GGA.

Results
**Volume**: 19.58 Å³/atom
**E_tot**: -2.598 eV/atom
**Total magnetic moment**: 0.0 μB per cell

Structure (POSCAR):
```
CaZn2P
1.0
3.642 0.000 0.000
0.000 3.642 0.000
0.000 0.000 5.907
Ca Zn P
1 2 1
Cartesian
0.000 0.000 0.000
1.821 1.821 1.738
1.821 1.821 4.168
0.000 0.000 2.953
```

Ca9Zn4P9: optimized geometry, PBE-GGA.

Results
**Volume**: 21.93 Å³/atom
**E_tot**: -4.219 eV/atom
**Total magnetic moment**: 0.0 μB per cell

Structure (POSCAR):
```
Ca9Zn4P9
1.0
11.489 0.000 0.000
0.000 20.446 0.000
0.000 0.000 4.107
Ca Zn P
18 8 18
Cartesian
0.000 0.000 0.000
0.466 8.323 2.054
1.281 4.955 2.054
1.628 17.727 2.054
2.732 12.438 0.000
3.013 2.215 0.000
4.116 7.505 2.054
4.463 15.178 2.054
5.278 18.546 2.054
5.744 10.223 0.000
6.211 1.900 2.054
7.026 5.268 2.054
7.373 12.941 2.054
8.476 18.230 0.000
8.757 8.007 0.000
9.860 2.718 2.054
10.207 15.491 2.054
11.022 12.122 2.054
1.491 15.543 0.000
2.458 9.375 0.000
3.286 19.598 0.000
4.254 5.320 0.000
7.235 15.126 0.000
8.202 0.848 0.000
9.031 11.071 0.000
9.998 4.903 0.000
0.000 10.223 0.000
0.298 3.141 0.000
1.583 14.251 2.054
2.133 6.931 0.000
2.260 0.087 2.054
3.484 10.310 2.054
3.611 17.154 0.000
4.161 4.028 2.054
5.446 13.364 0.000
5.744 0.000 0.000
6.043 7.082 0.000
7.327 16.418 2.054
7.878 3.292 0.000
8.004 10.135 2.054
9.229 20.358 2.054
9.355 13.515 0.000
9.906 6.195 2.054
11.190 17.305 0.000
```

CaZn3P: optimized geometry, PBE-GGA.

Results
**Volume**: 22.41 Å³/atom
**E_tot**: -2.130 eV/atom
**Total magnetic moment**: 0.0 μB per cell

Structure (POSCAR):
```
CaZn3P
1.0
4.821 0.000 0.000
0.000 4.821 0.000
0.000 0.000 4.821
Ca Zn P
1 3 1
Cartesian
0.000 0.000 0.000
0.000 2.410 2.410
2.410 0.000 2.410
2.410 2.410 0.000
2.410 2.410 2.410
```

CaZnP: optimized geometry, PBE-GGA.

Results
**Volume**: 19.54 Å³/atom
**E_tot**: -3.543 eV/atom
**Total magnetic moment**: 0.0 μB per cell

Structure (POSCAR):
```
CaZnP
1.0
0.000 7.364 2.821
2.822 0.000 2.821
2.822 7.364 0.000
Ca Zn P
2 2 2
Cartesian
2.822 2.461 2.821
2.822 12.268 2.821
4.234 7.364 4.219
1.409 7.364 4.219
2.822 5.464 2.823
2.822 9.265 2.823
```

Ca2ZnP: optimized geometry, PBE-GGA.

Results
**Volume**: 23.69 Å³/atom
**E_tot**: -3.394 eV/atom
**Total magnetic moment**: 0.0 μB per cell

Structure (POSCAR):
```
Ca2ZnP
1.0
4.075 0.000 0.000
0.000 4.266 0.000
0.000 0.000 10.902
Ca Zn P
4 2 2
Cartesian
0.000 0.000 0.000
0.000 2.133 5.451
2.037 0.000 3.051
2.037 2.133 8.502
2.037 0.000 6.228
2.037 2.133 0.777
0.000 0.000 7.821
0.000 2.133 2.370
```

Ca2ZnP: optimized geometry, PBE-GGA.

Results
**Volume**: 25.81 Å³/atom
**E_tot**: -2.952 eV/atom
**Total magnetic moment**: 0.0 μB per cell

Structure (POSCAR):
```
Ca2ZnP
1.0
3.571 0.000 0.000
0.000 3.571 0.000
0.000 0.000 8.099
Ca Zn P
2 1 1
Cartesian
0.000 0.000 0.000
1.785 1.785 3.394
1.785 1.785 6.300
0.000 0.000 5.129
```

Ca2ZnP2: optimized geometry, PBE-GGA.

Results
**Volume**: 22.22 Å³/atom
**E_tot**: -4.171 eV/atom
**Total magnetic moment**: 0.0 μB per cell

Structure (POSCAR):
```
Ca2ZnP2
1.0
8.606 0.000 0.000
0.000 7.272 0.000
-0.518 0.000 7.101
Ca Zn P
8 4 8
Cartesian
0.726 1.739 0.117
0.467 1.897 3.668
2.445 5.032 6.913
2.704 5.876 3.363
5.385 1.396 3.738
5.644 2.240 0.188
7.621 5.375 3.433
7.362 5.533 6.983
2.811 0.656 5.929
3.070 2.980 2.378
5.018 4.292 4.722
5.277 6.616 1.172
1.027 4.101 1.759
0.768 6.807 5.309
3.263 0.750 1.448
3.004 2.886 4.998
5.085 4.386 2.102
4.826 6.522 5.653
7.320 0.465 1.791
7.061 3.171 5.342
```

Ca2ZnP: optimized geometry, PBE-GGA.

Results
**Volume**: 28.17 Å³/atom
**E_tot**: -3.034 eV/atom
**Total magnetic moment**: 0.0 μB per cell

Structure (POSCAR):
```
Ca2ZnP
1.0
7.848 0.000 0.000
0.000 7.848 0.000
0.000 0.000 7.318
Ca Zn P
8 4 4
Cartesian
1.683 5.886 0.915
1.962 1.683 6.404
1.962 2.241 2.744
2.241 5.886 4.574
5.607 1.962 4.574
5.886 5.607 2.744
5.886 6.165 6.404
6.165 1.962 0.915
0.000 0.000 3.659
0.000 3.924 5.489
3.924 0.000 1.830
3.924 3.924 0.000
0.000 0.000 0.000
0.000 3.924 1.830
3.924 0.000 5.489
3.924 3.924 3.659
```